# 1
DFT (PBE-GGA) results for an optimized crystal structure of Ac2Se2S.

Unit cell a=7.986 b=7.986 c=7.986 alpha=119.22 beta=81.90 gamma=130.75
Element x y z (fractional)
Ac  0.111  0.247  0.358
Ac  0.389  0.747  0.136
Ac  0.611  0.253  0.864
Ac  0.889  0.753  0.642
Se  0.142  0.637  0.780
Se  0.358  0.137  0.495
Se  0.642  0.863  0.505
Se  0.858  0.363  0.220
S  0.250  0.250  0.000
S  0.750  0.750  0.000

## Properties
Crystal system: orthorhombic
Raw formation energy, kJ/mol of atoms: -194.8
Symmetry: Ibam
E, eV per atom: -5.88
Energy above the lowest structure with this stoichiometry, eV per atom: 0.0000



# 2
DFT (PBE-GGA) results for an optimized crystal structure of Ac3SeS2.

Unit cell a=9.752 b=9.752 c=9.752 alpha=154.14 beta=154.14 gamma=36.90
Element x y z (fractional)
Ac  0.000  0.000  0.000
Ac  0.329  0.329  0.000
Ac  0.671  0.671  0.000
Se  0.500  0.500  0.000
S  0.165  0.165  0.000
S  0.835  0.835  0.000

## Properties
Fermi-level density of states, states/eV/f.u.: 3.295
Crystal system: tetragonal
Raw formation energy, kJ/mol of atoms: -187.9
Symmetry: I4/mmm
E, eV per atom: -5.96



Number 1: magnetization 0.00 μB per formula unit. Number 2: magnetization 0.00 μB per formula unit.